No. 1
First-principles (GGA-PBE) data for a relaxed LaTiNO2 crystal, as listed in Alexandria.

## Properties
ΔE_f (raw) = -2643 meV/atom
Total energy = -8.856 eV/atom

Cell lengths 5.613, 5.613, 5.613 Å; angles 120.72, 120.03, 89.35 degrees
Element x y z (fractional)
Ti 0.500 0.000 0.500
Ti 0.000 0.500 0.500
N 0.320 0.750 0.570
N 0.680 0.250 0.430
La 0.752 0.750 0.002
La 0.248 0.250 0.998
O 0.213 0.213 0.500
O 0.787 0.287 0.000
O 0.787 0.787 0.500
O 0.213 0.713 0.000

No. 2
First-principles (GGA-PBE) data for a relaxed LaTiNO2 crystal, as listed in Alexandria.

## Properties
ΔE_f (raw) = -2697 meV/atom
Total energy = -8.910 eV/atom

Cell lengths 5.594, 5.594, 5.594 Å; angles 119.38, 119.24, 91.20 degrees
Element x y z (fractional)
N 0.963 0.713 0.250
N 0.537 0.787 0.750
O 0.422 0.750 0.172
O 0.078 0.250 0.328
O 0.951 0.201 0.750
O 0.549 0.299 0.250
La 0.509 0.250 0.759
La 0.991 0.750 0.741
Ti 0.750 0.980 0.230
Ti 0.250 0.520 0.270

No. 3
First-principles (GGA-PBE) data for a relaxed LaTiNO2 crystal, as listed in Alexandria.

## Properties
ΔE_f (raw) = -2671 meV/atom
Total energy = -8.884 eV/atom

Cell lengths 5.637, 5.616, 7.928 Å; angles 90.08, 89.86, 90.77 degrees
Element x y z (fractional)
O 0.221 0.726 0.508
O 0.734 0.764 0.442
O 0.263 0.224 0.546
O 0.066 0.036 0.253
O 0.238 0.252 0.947
O 0.768 0.262 0.472
O 0.934 0.965 0.738
O 0.427 0.453 0.248
La 0.500 0.007 0.775
La 0.506 0.014 0.242
La 0.010 0.507 0.771
La 0.003 0.503 0.244
N 0.252 0.756 0.981
N 0.557 0.530 0.741
N 0.756 0.745 0.048
N 0.741 0.239 0.011
Ti 0.512 0.514 0.004
Ti 0.006 0.002 0.504
Ti 0.996 0.996 0.010
Ti 0.510 0.506 0.515

No. 4
First-principles (GGA-PBE) data for a relaxed LaTlNO2 crystal, as listed in Alexandria.

## Properties
ΔE_f (raw) = -616 meV/atom
Total energy = -5.723 eV/atom

Cell lengths 4.546, 4.546, 5.174 Å; angles 90.00, 90.00, 90.00 degrees
Element x y z (fractional)
N 0.000 0.000 0.500
O 0.500 0.000 0.000
O 0.000 0.500 0.000
Tl 0.500 0.500 0.500
La 0.000 0.000 0.000